# 1
# MgPd4Au | Alexandria | PBE | optimized geometry
data_MgPd4Au
_chemical_formula_sum 'Mg2 Pd8 Au2'
_space_group_name_H-M_alt 'C m m m'
_space_group_IT_number 65
_space_group_name_Hall '-C 2 2'
_cell_length_a 4.011
_cell_length_b 11.809
_cell_length_c 4.035
_cell_angle_alpha 90.00
_cell_angle_beta 90.00
_cell_angle_gamma 90.00
loop_
_atom_site_label
_atom_site_type_symbol
_atom_site_fract_x
_atom_site_fract_y
_atom_site_fract_z
Mg1 Mg 0.000 0.000 0.000
Pd1 Pd 0.000 0.167 0.500
Pd2 Pd 0.000 0.333 0.000
Au1 Au 0.000 0.500 0.500
# final energy	-4.642	eV/atom
# offset from the most stable computed form	0.000	eV per atom
# formation energy from the elements	-0.368	eV per atom

---

# 2
# K3Sc2USe6 | Alexandria | PBE | optimized geometry
data_K3Sc2USe6
_chemical_formula_sum 'K6 Sc4 U2 Se12'
_space_group_name_H-M_alt 'C 1 2/m 1'
_space_group_IT_number 12
_cell_length_a 7.088
_cell_length_b 12.278
_cell_length_c 8.034
_cell_angle_alpha 90.00
_cell_angle_beta 107.14
_cell_angle_gamma 90.00
loop_
_space_group_symop_operation_xyz
'x,y,z'
'-x,-y,-z'
'-x,y,-z'
'x,-y,z'
'x+1/2,y+1/2,z'
'-x+1/2,-y+1/2,-z'
'-x+1/2,y+1/2,-z'
'x+1/2,-y+1/2,z'
loop_
_atom_site_label
_atom_site_type_symbol
_atom_site_fract_x
_atom_site_fract_y
_atom_site_fract_z
K1 K 0.000 0.000 0.000
K2 K 0.000 0.335 0.000
Sc1 Sc 0.000 0.167 0.500
U1 U 0.000 0.500 0.500
Se1 Se 0.221 0.000 0.700
Se2 Se 0.240 0.327 0.700
# final energy	-5.487	eV/atom
# formation energy (no corrections)	-17.70	eV/f.u.